A relaxed NaCrPb2 crystal. Source: Alexandria, functional PBE-GGA.

The structure in POSCAR format:
```
NaCrPb2
1.0
4.725 0.000 0.000
0.000 4.725 0.000
0.000 0.000 20.302
Na Cr Pb
4 4 8
Cartesian
0.000 0.000 0.000
0.000 2.362 5.076
2.362 0.000 15.227
2.362 2.362 10.151
0.000 0.000 10.151
0.000 2.362 15.227
2.362 0.000 5.076
2.362 2.362 0.000
1.094 1.181 12.689
1.181 3.457 17.765
1.181 3.631 7.613
1.268 1.181 2.538
3.457 3.544 2.538
3.544 1.094 7.613
3.544 1.268 17.765
3.631 3.544 12.689
```

Computed properties:
ΔH_f (0 K)	0.47	eV/atom
SG	I-42d, No. 122

A relaxed NaCr2Pb2 crystal. Source: Alexandria, functional PBE-GGA.

The structure in POSCAR format:
```
NaCr2Pb2
1.0
5.124 0.000 0.000
0.000 5.124 0.000
0.000 0.000 8.644
Na Cr Pb
2 4 4
Cartesian
0.000 0.000 0.000
2.562 2.562 4.322
0.000 0.000 3.425
0.000 0.000 5.219
2.562 2.562 0.897
2.562 2.562 7.747
0.000 2.562 2.161
0.000 2.562 6.483
2.562 0.000 2.161
2.562 0.000 6.483
```

Computed properties:
distance to the lowest polymorph of the same formula	196	meV/atom
ΔH_f (0 K)	0.56	eV/atom
SG	I4/mmm, No. 139

A relaxed NaCr2Pb2 crystal. Source: Alexandria, functional PBE-GGA.

The structure in POSCAR format:
```
NaCr2Pb2
1.0
3.359 0.000 0.000
0.000 3.359 0.000
0.000 0.000 19.090
Na Cr Pb
2 4 4
Cartesian
0.000 0.000 0.000
1.679 1.679 9.545
0.000 1.679 4.772
0.000 1.679 14.317
1.679 0.000 4.772
1.679 0.000 14.317
0.000 0.000 7.113
0.000 0.000 11.977
1.679 1.679 2.432
1.679 1.679 16.658
```

Computed properties:
distance to the lowest polymorph of the same formula	0	meV/atom
ΔH_f (0 K)	0.37	eV/atom
SG	I4/mmm, No. 139

A relaxed NaCr2Pb2 crystal. Source: Alexandria, functional PBE-GGA.

The structure in POSCAR format:
```
NaCr2Pb2
1.0
8.434 0.000 0.000
0.000 8.434 0.000
0.000 0.000 3.093
Na Cr Pb
2 4 4
Cartesian
0.000 0.000 0.000
4.217 4.217 0.000
0.685 3.532 1.547
3.532 7.749 1.547
4.902 0.685 1.547
7.749 4.902 1.547
1.595 5.812 0.000
2.622 1.595 0.000
5.812 6.839 0.000
6.839 2.622 0.000
```

Computed properties:
distance to the lowest polymorph of the same formula	220	meV/atom
ΔH_f (0 K)	0.59	eV/atom
SG	P4/mbm, No. 127

A relaxed NaCr2Pb2 crystal. Source: Alexandria, functional PBE-GGA.

The structure in POSCAR format:
```
NaCr2Pb2
1.0
8.235 0.000 0.000
0.000 8.235 0.000
0.000 0.000 3.150
Na Cr Pb
2 4 4
Cartesian
0.000 0.000 0.000
4.117 4.117 0.000
0.686 3.431 0.000
3.431 7.548 0.000
4.803 0.686 0.000
7.548 4.803 0.000
1.579 5.697 1.575
2.538 1.579 1.575
5.697 6.655 1.575
6.655 2.538 1.575
```

Computed properties:
distance to the lowest polymorph of the same formula	172	meV/atom
ΔH_f (0 K)	0.54	eV/atom
SG	P4/mbm, No. 127

A relaxed Na2Cr4Pb crystal. Source: Alexandria, functional PBE-GGA.

The structure in POSCAR format:
```
Na2Cr4Pb
1.0
5.305 0.000 0.000
0.000 5.305 0.000
0.000 0.000 15.898
Na Cr Pb
4 8 2
Cartesian
0.000 0.000 2.020
0.000 0.000 13.878
2.653 2.653 5.929
2.653 2.653 9.970
0.000 0.000 5.152
0.000 0.000 10.747
0.000 2.653 0.000
0.000 2.653 7.949
2.653 0.000 0.000
2.653 0.000 7.949
2.653 2.653 2.797
2.653 2.653 13.101
0.000 0.000 7.949
2.653 2.653 0.000
```

Computed properties:
ΔH_f (0 K)	1.36	eV/atom
SG	I4/mmm, No. 139

Q: Which formula does entry 6 have?
A: Na2Cr4Pb